Entry from Alexandria via LeMat-Bulk: crystalline SmCd at its relaxed geometry (PBE-GGA).

Values from the calculation:
**Crystal system**: cubic
**Formation energy from the elements**: -0.3174 eV per atom

```
data_SmCd
_chemical_formula_sum 'Sm1 Cd1'
_cell_length_a 3.8148
_cell_length_b 3.8148
_cell_length_c 3.8148
_cell_angle_alpha 90.00
_cell_angle_beta 90.00
_cell_angle_gamma 90.00
_space_group_name_H-M_alt 'P m -3 m'
_space_group_IT_number 221
_space_group_name_Hall '-P 4 2 3'
loop_
_atom_site_label
_atom_site_type_symbol
_atom_site_fract_x
_atom_site_fract_y
_atom_site_fract_z
Sm1 Sm 0.0000 0.0000 0.0000
Cd1 Cd 0.5000 0.5000 0.5000
```